No. 1
DFT (GGA-PBE) results for crystalline SmHo2Hg5 at its relaxed geometry.

- Calculated formation energy: -3.5 eV/f.u.
- Mass density: 12.33 g cm⁻³
- Final energy: -0.1732 Ry/atom
- V: 399.41 Å³ per cell

Cell and atoms, written as CIF:
```
data_SmHo2Hg5
_space_group_name_H-M_alt 'I 4/m m m'
_space_group_IT_number 139
_space_group_name_Hall '-I 4 2'
_cell_length_a 5.2224
_cell_length_b 5.2224
_cell_length_c 14.6446
_cell_angle_alpha 90.00
_cell_angle_beta 90.00
_cell_angle_gamma 90.00
loop_
_atom_site_label
_atom_site_type_symbol
_atom_site_fract_x
_atom_site_fract_y
_atom_site_fract_z
Sm1 Sm 0.0000 0.0000 0.0000
Ho1 Ho 0.0000 0.0000 0.2659
Hg1 Hg 0.0000 0.0000 0.5000
Hg2 Hg 0.0000 0.5000 0.1275
```



No. 2
DFT (GGA-PBE) results for crystalline CuIrI at its relaxed geometry.

- Mass density: 9.49 g cm⁻³
- Uncorrected formation energy: 7.83 kcal/mol of atoms
- Final energy: -0.3305 Ry/atom
- V: 133.91 Å³ per cell

Cell and atoms, written as CIF:
```
data_CuIrI
_space_group_name_H-M_alt 'P -1'
_space_group_IT_number 2
_space_group_name_Hall '-P 1'
_cell_length_a 3.0669
_cell_length_b 4.1205
_cell_length_c 10.7019
_cell_angle_alpha 89.81
_cell_angle_beta 81.97
_cell_angle_gamma 90.00
loop_
_atom_site_label
_atom_site_type_symbol
_atom_site_fract_x
_atom_site_fract_y
_atom_site_fract_z
Cu1 Cu 0.0551 0.2517 0.3870
Ir1 Ir 0.4579 0.2488 0.5865
I1 I 0.3370 0.2482 0.8345
```



No. 3
DFT (GGA-PBE) results for crystalline La2YScO6 at its relaxed geometry.

- Mass density: 5.79 g cm⁻³
- Uncorrected formation energy: -80.42 kcal/mol of atoms
- Final energy: -0.6415 Ry/atom
- V: 291.40 Å³ per cell

Cell and atoms, written as CIF:
```
data_La2YScO6
_space_group_name_H-M_alt 'P 1 21/c 1'
_space_group_IT_number 14
_space_group_name_Hall '-P 2ybc'
_cell_length_a 5.8020
_cell_length_b 5.9942
_cell_length_c 10.1624
_cell_angle_alpha 90.00
_cell_angle_beta 124.46
_cell_angle_gamma 90.00
loop_
_atom_site_label
_atom_site_type_symbol
_atom_site_fract_x
_atom_site_fract_y
_atom_site_fract_z
La1 La 0.2354 0.0490 0.2507
Y1 Y 0.5000 0.0000 0.0000
Sc1 Sc 0.0000 0.0000 0.5000
O1 O 0.1226 0.2051 0.9344
O2 O 0.2328 0.6905 0.9382
O3 O 0.3611 0.0506 0.7416
```



No. 4
DFT (GGA-PBE) results for crystalline Nb2CrCuC at its relaxed geometry.

- Calculated formation energy: 7.3 eV/f.u.
- Mass density: 6.70 g cm⁻³
- Final energy: -0.5259 Ry/atom
- V: 77.62 Å³ per cell

Cell and atoms, written as CIF:
```
data_Nb2CrCuC
_space_group_name_H-M_alt 'P 4/m m m'
_space_group_IT_number 123
_space_group_name_Hall '-P 4 2'
_cell_length_a 4.7672
_cell_length_b 4.7672
_cell_length_c 3.4153
_cell_angle_alpha 90.00
_cell_angle_beta 90.00
_cell_angle_gamma 90.00
loop_
_atom_site_label
_atom_site_type_symbol
_atom_site_fract_x
_atom_site_fract_y
_atom_site_fract_z
Nb1 Nb 0.0000 0.5000 0.0000
Cr1 Cr 0.0000 0.0000 0.5000
Cu1 Cu 0.5000 0.5000 0.0000
C1 C 0.5000 0.5000 0.5000
```



No. 5
DFT (GGA-PBE) results for crystalline YTlSnBr6 at its relaxed geometry.

- Mass density: 4.17 g cm⁻³
- Uncorrected formation energy: -30.00 kcal/mol of atoms
- Final energy: -0.2824 Ry/atom
- V: 710.76 Å³ per cell

Cell and atoms, written as CIF:
```
data_YTlSnBr6
_space_group_name_H-M_alt 'P -3 1 c'
_space_group_IT_number 163
_space_group_name_Hall '-P 3 2c'
_cell_length_a 7.5722
_cell_length_b 7.5722
_cell_length_c 14.3134
_cell_angle_alpha 90.00
_cell_angle_beta 90.00
_cell_angle_gamma 120.00
loop_
_atom_site_label
_atom_site_type_symbol
_atom_site_fract_x
_atom_site_fract_y
_atom_site_fract_z
Y1 Y 0.3333 0.6667 0.2500
Tl1 Tl 0.0000 0.0000 0.0000
Sn1 Sn 0.3333 0.6667 0.7500
Br1 Br 0.0182 0.3753 0.1358
```



No. 6
DFT (GGA-PBE) results for crystalline LiGdAlTc at its relaxed geometry.

- Calculated formation energy: -0.3 eV/f.u.
- Mass density: 6.75 g cm⁻³
- Final energy: -0.5580 Ry/atom
- V: 284.37 Å³ per cell

Cell and atoms, written as CIF:
```
data_LiGdAlTc
_space_group_name_H-M_alt 'F -4 3 m'
_space_group_IT_number 216
_space_group_name_Hall 'F -4 2 3'
_cell_length_a 6.5760
_cell_length_b 6.5760
_cell_length_c 6.5760
_cell_angle_alpha 90.00
_cell_angle_beta 90.00
_cell_angle_gamma 90.00
loop_
_atom_site_label
_atom_site_type_symbol
_atom_site_fract_x
_atom_site_fract_y
_atom_site_fract_z
Li1 Li 0.0000 0.0000 0.0000
Gd1 Gd 0.2500 0.2500 0.2500
Al1 Al 0.2500 0.2500 0.7500
Tc1 Tc 0.0000 0.0000 0.5000
```